The following is a PBE-GGA calculation of Sc2ReAg after structural relaxation, from Alexandria.

As for the final energy: -26.84 eV for the cell shown.

The space group is P4mm (No. 99) and the conventional cell measures 2.888, 2.888 and 9.133 Å, with angles of 90.00, 90.00 and 90.00 degrees. The asymmetric unit holds Sc at (0.000, 0.000, 0.000), Sc at (0.500, 0.500, 0.304), Re at (0.500, 0.500, 0.776) and Ag at (0.000, 0.000, 0.545).